## La6TbCd3 (GGA-PBE)

Data for La6TbCd3 after structural relaxation.

Calculated values
**Space-group type**: Cmc2_1
**Total moment**: 0.0 μB/cell
**Total energy**: -38.04 eV per formula unit
**Formation energy**: -10.61 kJ/mol of atoms

Cell: 6.997 9.712 9.712 Å, 93.99 90.00 90.00°
Fractional positions:
La 0.107 0.704 0.296
Tb 0.617 0.689 0.311
La 0.784 0.435 0.003
La 0.098 0.302 0.267
Cd 0.863 0.763 0.014
Cd 0.863 0.986 0.237
La 0.284 0.003 0.435
Cd 0.355 0.502 0.498
La 0.284 0.565 0.997
La 0.417 0.923 0.077
Cd 0.363 0.237 0.986
La 0.098 0.733 0.698
Cd 0.363 0.014 0.763
Cd 0.855 0.498 0.502
La 0.598 0.267 0.302
La 0.784 0.997 0.565
Tb 0.117 0.311 0.689
La 0.917 0.077 0.923
La 0.607 0.296 0.704
La 0.598 0.698 0.733

***

## La5Tb5Cd2 (GGA-PBE)

Data for La5Tb5Cd2 after structural relaxation.

Calculated values
**Space-group type**: C2/m
**Total moment**: 0.0 μB/cell
**Total energy**: -50.19 eV per formula unit
**Formation energy**: -4.62 kJ/mol of atoms

Cell: 4.981 7.953 10.170 Å, 90.48 90.00 108.25°
Fractional positions:
La 0.000 0.000 0.500
La 0.507 0.014 0.749
Cd 0.172 0.345 0.743
Tb 0.000 0.000 0.000
La 0.669 0.338 0.005
Tb 0.169 0.338 0.252
Tb 0.327 0.654 0.509
La 0.493 0.986 0.251
Tb 0.673 0.346 0.491
Tb 0.831 0.662 0.748
La 0.331 0.662 0.995
Cd 0.828 0.655 0.257

***

## La2TbCd2 (GGA-PBE)

Data for La2TbCd2 after structural relaxation.

Calculated values
**Space-group type**: P2_1/m
**Total moment**: 0.0 μB/cell
**Total energy**: -17.54 eV per formula unit
**Excess energy over the best structure of this formula in the dataset**: 0.000 eV per atom
**Formation energy**: -23.55 kJ/mol of atoms

Cell: 3.783 5.458 14.689 Å, 90.00 97.38 90.00°
Fractional positions:
La 0.041 0.750 0.082
Cd 0.363 0.250 0.726
Cd 0.561 0.250 0.121
Tb 0.849 0.750 0.701
La 0.768 0.250 0.533
Tb 0.151 0.250 0.299
La 0.959 0.250 0.918
Cd 0.439 0.750 0.879
Cd 0.637 0.750 0.274
La 0.232 0.750 0.467

***

## La4TbCd (GGA-PBE)

Data for La4TbCd after structural relaxation.

Calculated values
**Space-group type**: P4/mmm
**Total moment**: 0.0 μB/cell
**Total energy**: -25.85 eV per formula unit
**Excess energy over the best structure of this formula in the dataset**: 0.000 eV per atom
**Formation energy**: -9.57 kJ/mol of atoms

Cell: 3.762 3.762 14.339 Å, 90.00 90.00 90.00°
Fractional positions:
Cd 0.500 0.500 0.500
La 0.000 0.000 0.649
La 0.500 0.500 0.826
Tb 0.000 0.000 0.000
La 0.000 0.000 0.351
La 0.500 0.500 0.174

***

- What is the total energy in the third record?
  -17.54 eV per formula unit